Below is a relaxed CrPIO2 crystal, with properties calculated at the GGA+U level.

Lattice parameters (Å, degrees): 3.7969 3.7969 5.5504 90.00 90.00 90.00
Last column: nearest neighbours and their distance in Å.
Sites, in units of the cell vectors:
Cr 0.0000 0.0000 0.0000  4 O 1.90
P 0.0000 0.0000 0.5000  4 I 2.68, 2 Cr 2.78
I 0.5000 0.5000 0.5000  4 P 2.68
O 0.0000 0.5000 0.0000  2 Cr 1.90
O 0.5000 0.0000 0.0000  2 Cr 1.90

total magnetization	1.52	μB/f.u.
electronic total energy	-5.19	eV/atom
space group	No. 123
offset from the most stable computed form	0	meV/atom